(1)
## SiS2 (PBE)

Data for a relaxed SiS2 crystal.

CIF file:
```
data_SiS2
_chemical_formula_sum 'Si4 S8'
_symmetry_space_group_name_H-M 'I -4 2 d'
_symmetry_Int_Tables_number 122
_symmetry_space_group_name_Hall 'I -4 2bw'
_cell_length_a 5.647
_cell_length_b 5.647
_cell_length_c 8.700
_cell_angle_alpha 90.00
_cell_angle_beta 90.00
_cell_angle_gamma 90.00
loop_
_atom_site_label
_atom_site_type_symbol
_atom_site_fract_x
_atom_site_fract_y
_atom_site_fract_z
Si1 Si 0.000 0.000 0.000
S1 S 0.214 0.250 0.125
```

(2)
## ThBr (PBE)

Data for a relaxed ThBr crystal.

CIF file:
```
data_ThBr
_chemical_formula_sum 'Th2 Br2'
_symmetry_space_group_name_H-M 'P 1 21/m 1'
_symmetry_Int_Tables_number 11
_cell_length_a 3.685
_cell_length_b 3.805
_cell_length_c 10.895
_cell_angle_alpha 90.00
_cell_angle_beta 90.17
_cell_angle_gamma 90.00
loop_
_symmetry_equiv_pos_as_xyz
'x,y,z'
'-x,-y,-z'
'-x,y+1/2,-z'
'x,-y+1/2,z'
loop_
_atom_site_label
_atom_site_type_symbol
_atom_site_fract_x
_atom_site_fract_y
_atom_site_fract_z
Th1 Th 0.249 0.250 0.381
Br1 Br 0.248 0.750 0.174
```

Calculated raw total energy (eV/atom), listed in the same order as above: -5.19, -5.34